# 1
A relaxed LiPmMg2Ge2 crystal, computed with PBE-GGA.

## Properties
Its energy relative to the elements is -3.20 eV per formula unit.

a b c (Å): 4.5162 4.5162 7.0448
angles (deg): 90.00 90.00 120.00
Space group P-3m1 (No. 164)
Asymmetric unit:
Li 0.0000 0.0000 0.0000 x1
Pm 0.0000 0.0000 0.5000 x1
Mg 0.3333 0.6667 0.1568 x2
Ge 0.3333 0.6667 0.7446 x2

=====

# 2
A relaxed Nd3Ho2Ga3O12 crystal, computed with PBE-GGA.

## Properties
The value obtained for the raw formation energy is -2.9213 eV per atom.

a b c (Å): 13.071 13.071 13.071
angles (deg): 90.00 90.00 90.00
Space group Ia-3d (No. 230)
Asymmetric unit:
Nd 0.000 0.250 0.125 x24
Ho 0.000 0.000 0.000 x16
Ga 0.000 0.250 0.375 x24
O 0.030 0.059 0.658 x96

=====

# 3
A relaxed K2YPaO6 crystal, computed with PBE-GGA.

## Properties
The value obtained for the raw formation energy is -2.5493 eV per atom.

a b c (Å): 8.804 8.804 8.804
angles (deg): 90.00 90.00 90.00
Space group Fm-3m (No. 225)
Asymmetric unit:
K 0.250 0.250 0.250 x8
Y 0.000 0.000 0.000 x4
Pa 0.000 0.000 0.500 x4
O 0.000 0.000 0.257 x24

=====

# 4
A relaxed InOs2Br crystal, computed with PBE-GGA.

## Properties
The value obtained for the raw formation energy is 1.2719 eV per atom. For the energy relative to the lowest polymorph listed for this composition, the calculation gives 804 meV/atom.

a b c (Å): 4.593 4.593 3.206
angles (deg): 90.00 90.00 90.00
Space group P4/mmm (No. 123)
Asymmetric unit:
In 0.000 0.000 0.000 x1
Os 0.000 0.500 0.500 x2
Br 0.500 0.500 0.000 x1

=====

# 5
A relaxed AlGaSiS2 crystal, computed with PBE-GGA.

## Properties
The value obtained for the raw formation energy is 0.4329 eV per atom.

a b c (Å): 4.640 4.640 4.893
angles (deg): 90.00 90.00 90.00
Space group P4/mmm (No. 123)
Asymmetric unit:
Al 0.000 0.000 0.000 x1
Ga 0.000 0.000 0.500 x1
Si 0.500 0.500 0.500 x1
S 0.000 0.500 0.000 x2

=====

# 6
A relaxed PuOF3 crystal, computed with PBE-GGA.

## Properties
The value obtained for the raw formation energy is -2.9068 eV per atom.

a b c (Å): 8.475 7.564 5.455
angles (deg): 90.00 116.09 90.00
Space group C2/m (No. 12)
Asymmetric unit:
Pu 0.226 0.000 0.482 x4
O 0.015 0.500 0.639 x4
F 0.060 0.000 0.754 x4
F 0.208 0.254 0.249 x8

=====

# 7
A relaxed PrThZrN3 crystal, computed with PBE-GGA.

## Properties
The value obtained for the raw formation energy is -1.2111 eV per atom.

a b c (Å): 6.393 3.425 10.334
angles (deg): 90.00 91.81 90.00
Space group P2_1/m (No. 11)
Asymmetric unit:
Pr 0.192 0.250 0.258 x2
Th 0.308 0.750 0.606 x2
Zr 0.181 0.250 0.934 x2
N 0.131 0.250 0.730 x2
N 0.166 0.750 0.060 x2
N 0.418 0.750 0.385 x2

=====

# 8
A relaxed ScCo3Rh crystal, computed with PBE-GGA.

## Properties
Its energy relative to the elements is 6.70 eV per formula unit. For the energy relative to the lowest polymorph listed for this composition, the calculation gives 528 meV/atom.

a b c (Å): 4.287 4.287 4.287
angles (deg): 90.00 90.00 90.00
Space group Pm-3m (No. 221)
Asymmetric unit:
Sc 0.000 0.000 0.000 x1
Co 0.000 0.000 0.500 x3
Rh 0.500 0.500 0.500 x1

=====

# 9
A relaxed Mn2InFe crystal, computed with PBE-GGA.

## Properties
Its energy relative to the elements is 1.17 eV per formula unit.

a b c (Å): 2.738 2.738 7.459
angles (deg): 90.00 90.00 90.00
Space group P4/mmm (No. 123)
Asymmetric unit:
Mn 0.000 0.000 0.215 x2
In 0.500 0.500 0.500 x1
Fe 0.500 0.500 0.000 x1

=====

# 10
A relaxed Rb2HfCI6 crystal, computed with PBE-GGA.

## Properties
The value obtained for the raw formation energy is -0.3422 eV per atom.

a b c (Å): 8.090 8.090 12.602
angles (deg): 90.00 90.00 90.00
Space group I4/mmm (No. 139)
Asymmetric unit:
Rb 0.000 0.500 0.250 x4
Hf 0.000 0.000 0.000 x2
C 0.000 0.000 0.500 x2
I 0.000 0.000 0.228 x4
I 0.249 0.249 0.500 x8

=====

# 11
A relaxed CsK2InPd crystal, computed with PBE-GGA.

## Properties
Its energy relative to the elements is -0.29 eV per formula unit.

a b c (Å): 6.398 6.398 5.368
angles (deg): 90.00 90.00 90.00
Space group P4/mmm (No. 123)
Asymmetric unit:
Cs 0.000 0.000 0.000 x1
K 0.000 0.500 0.500 x2
In 0.500 0.500 0.000 x1
Pd 0.500 0.500 0.500 x1

=====

# 12
A relaxed CaTcSe2Br crystal, computed with PBE-GGA.

## Properties
The value obtained for the raw formation energy is -0.4522 eV per atom. For the energy relative to the lowest polymorph listed for this composition, the calculation gives 0 meV/atom.

a b c (Å): 4.912 4.912 5.273
angles (deg): 90.00 90.00 90.00
Space group P4/mmm (No. 123)
Asymmetric unit:
Ca 0.000 0.000 0.000 x1
Tc 0.500 0.500 0.500 x1
Se 0.000 0.500 0.500 x2
Br 0.500 0.500 0.000 x1

=====

# 13
A relaxed TcMo2Ru6Pt2 crystal, computed with PBE-GGA.

## Properties
Its energy relative to the elements is 2.28 eV per formula unit.

a b c (Å): 8.918 5.433 7.306
angles (deg): 90.00 109.37 90.00
Space group C2/m (No. 12)
Asymmetric unit:
Tc 0.000 0.000 0.000 x2
Mo 0.094 0.000 0.384 x4
Ru 0.131 0.500 0.999 x4
Ru 0.183 0.254 0.728 x8
Pt 0.096 0.500 0.373 x4

=====

# 14
A relaxed Y8As crystal, computed with PBE-GGA.

## Properties
Its energy relative to the elements is -1.21 eV per formula unit.

a b c (Å): 10.788 10.788 4.577
angles (deg): 90.00 90.00 90.00
Space group I4/mmm (No. 139)
Asymmetric unit:
Y 0.000 0.335 0.000 x8
Y 0.158 0.158 0.500 x8
As 0.000 0.000 0.000 x2

=====

# 15
A relaxed Cs2Rb2Sn crystal, computed with PBE-GGA.

## Properties
Its energy relative to the elements is 0.44 eV per formula unit.

a b c (Å): 9.675 9.675 7.460
angles (deg): 90.00 90.00 90.00
Space group P4/mbm (No. 127)
Asymmetric unit:
Cs 0.201 0.299 0.000 x4
Rb 0.154 0.654 0.500 x4
Sn 0.000 0.000 0.500 x2

=====

# 16
A relaxed PuVRu2 crystal, computed with PBE-GGA.

## Properties
Its energy relative to the elements is -0.64 eV per formula unit.

a b c (Å): 3.015 3.015 7.161
angles (deg): 90.00 90.00 90.00
Space group P4/mmm (No. 123)
Asymmetric unit:
Pu 0.000 0.000 0.000 x1
V 0.000 0.000 0.500 x1
Ru 0.500 0.500 0.298 x2

=====

# 17
A relaxed Tl5SnSb4 crystal, computed with PBE-GGA.

## Properties
The value obtained for the raw formation energy is 0.0565 eV per atom. For the energy relative to the lowest polymorph listed for this composition, the calculation gives 15 meV/atom.

a b c (Å): 16.933 5.178 7.572
angles (deg): 90.00 93.78 90.00
Space group C2/m (No. 12)
Asymmetric unit:
Tl 0.000 0.000 0.000 x2
Tl 0.163 0.500 0.006 x4
Tl 0.179 0.500 0.499 x4
Sn 0.000 0.000 0.500 x2
Sb 0.020 0.500 0.277 x4
Sb 0.168 0.000 0.740 x4

=====

# 18
A relaxed NiTeP2Pt crystal, computed with PBE-GGA.

## Properties
The value obtained for the raw formation energy is -0.2625 eV per atom. For the energy relative to the lowest polymorph listed for this composition, the calculation gives 37 meV/atom.

a b c (Å): 3.6708 3.6708 8.2213
angles (deg): 90.00 90.00 120.00
Space group P3m1 (No. 156)
Asymmetric unit:
Ni 0.0000 0.0000 0.0000 x1
Te 0.3333 0.6667 0.1822 x1
P 0.6667 0.3333 0.6249 x1
P 0.6667 0.3333 0.8909 x1
Pt 0.3333 0.6667 0.5182 x1

=====

# 19
A relaxed Ca2Hg2P crystal, computed with PBE-GGA.

## Properties
Its energy relative to the elements is -2.05 eV per formula unit. For the energy relative to the lowest polymorph listed for this composition, the calculation gives 21 meV/atom.

a b c (Å): 7.632 7.632 5.008
angles (deg): 90.00 90.00 90.00
Space group P4/mbm (No. 127)
Asymmetric unit:
Ca 0.178 0.322 0.000 x4
Hg 0.140 0.640 0.500 x4
P 0.000 0.000 0.000 x2

=====

# 20
A relaxed IrWBr2 crystal, computed with PBE-GGA.

## Properties
The value obtained for the raw formation energy is 0.1175 eV per atom. For the energy relative to the lowest polymorph listed for this composition, the calculation gives 47 meV/atom.

a b c (Å): 3.126 3.248 8.923
angles (deg): 90.00 90.16 90.00
Space group Pm (No. 6)
Asymmetric unit:
Ir 0.000 0.000 0.000 x1
W 0.499 0.500 0.848 x1
Br 0.002 0.500 0.237 x1
Br 0.498 0.000 0.624 x1

=====

# 21
A relaxed DyGa2PdPt2 crystal, computed with PBE-GGA.

## Properties
Its energy relative to the elements is -5.65 eV per formula unit.

a b c (Å): 4.3737 4.3737 6.4247
angles (deg): 90.00 90.00 120.00
Space group P-3m1 (No. 164)
Asymmetric unit:
Dy 0.0000 0.0000 0.0000 x1
Ga 0.3333 0.6667 0.3112 x2
Pd 0.0000 0.0000 0.5000 x1
Pt 0.3333 0.6667 0.7272 x2

=====

# 22
A relaxed SnIr3W crystal, computed with PBE-GGA.

## Properties
Its energy relative to the elements is 6.83 eV per formula unit. For the energy relative to the lowest polymorph listed for this composition, the calculation gives 0 meV/atom.

a b c (Å): 4.802 4.802 4.802
angles (deg): 90.00 90.00 90.00
Space group Pm-3m (No. 221)
Asymmetric unit:
Sn 0.000 0.000 0.000 x1
Ir 0.000 0.500 0.500 x3
W 0.500 0.500 0.500 x1

=====

no.,total magnetization (μB per atom),calculated total energy (eV/atom)
1,0.000,-3.715
2,0.000,-7.523
3,0.204,-7.340
4,0.000,-5.446
5,0.000,-3.657
6,0.800,-7.888
7,0.061,-8.832
8,0.871,-5.661
9,0.787,-7.092
10,0.200,-3.384
11,0.000,-2.254
12,0.239,-4.654
13,0.000,-8.862
14,0.000,-6.397
15,0.172,-1.441
16,1.118,-10.660
17,0.000,-3.176
18,0.000,-5.419
19,0.000,-2.413
20,0.029,-6.172
21,0.000,-5.597
22,0.000,-7.341